Entry 1:
5
Lattice="-4.2487 -0.5168 1.8877 0.1528 -4.5856 -0.9114 1.9512 -0.7661 4.1818" Properties=species:S:1:pos:R:3 comment="PBE MnIrS3, optimized geometry" raw_formation_energy_ev_per_fu=2.9 crystal_system=cubic polymorph_energy_ev_per_atom=0.992 spacegroup="Pm-3m (221)" final_energy_ev_per_atom=-5.503 pbc="T T T"
Mn -1.0723 -2.9342 2.5791
Ir 0.0000 0.0000 0.0000
S 0.0764 -2.2928 -0.4557
S 0.9756 -0.3830 2.0909
S -2.1243 -0.2584 0.9439

=====

Entry 2:
8
Lattice="-4.8449 1.7001 -1.4491 -2.1640 -2.7132 4.0520 -2.9693 3.6132 4.3458" Properties=species:S:1:pos:R:3 comment="PBE MnIr2S, optimized geometry" raw_formation_energy_ev_per_fu=2.1 crystal_system=tetragonal spacegroup="I-42d (122)" final_energy_ev_per_atom=-7.240 pbc="T T T"
S -3.5044 -0.5066 1.3015
S -4.3189 0.1967 4.8497
Ir -4.0198 1.6193 0.6936
Ir -2.7216 -0.5725 3.4315
Ir -4.8648 2.3181 4.2531
Ir -8.3503 1.8352 5.5193
Mn 0.0000 0.0000 0.0000
Mn -5.6593 2.4034 2.0991

=====

Entry 3:
8
Lattice="-1.3735 3.3774 3.6714 -3.6654 -3.2664 1.6335 0.7822 -2.0590 5.8329" Properties=species:S:1:pos:R:3 comment="PBE Mn2IrS, optimized geometry" raw_formation_energy_ev_per_fu=1.5 crystal_system=tetragonal spacegroup="I-42d (122)" final_energy_ev_per_atom=-7.464 pbc="T T T"
S -2.5195 0.0555 2.6525
S -2.7013 -2.6350 5.0594
Ir 0.0000 0.0000 0.0000
Ir -1.5554 0.6869 6.0784
Mn -1.0911 1.1141 3.8769
Mn -2.2970 -2.0603 3.0182
Mn -1.3829 -1.5740 6.3996
Mn -3.7423 -1.3758 8.9808

=====

Entry 4:
8
Lattice="-3.1695 -0.4292 4.0636 -4.1633 -2.9806 -2.7928 0.8824 -4.9912 3.4516" Properties=species:S:1:pos:R:3 comment="PBE Mn2IrS5, optimized geometry" raw_formation_energy_ev_per_fu=-1.7 crystal_system=monoclinic spacegroup="C2/m (12)" final_energy_ev_per_atom=-6.195 pbc="T T T"
Mn -3.8313 -6.3099 4.9562
Mn -2.6191 -2.0912 -0.2338
Ir -3.2252 -4.2005 2.3612
S -2.8752 -6.3881 1.4267
S -4.4689 -3.3027 0.5095
S -1.6404 -3.9859 0.3294
S -3.5752 -2.0129 3.2958
S -1.9816 -5.0983 4.2129

=====

Entry 5:
10
Lattice="5.2682 0.0000 2.7403 1.9214 4.9053 2.7403 0.0776 0.0529 6.2851" Properties=species:S:1:pos:R:3 comment="PBE MnIrS3, optimized geometry" raw_formation_energy_ev_per_fu=-2.1 crystal_system=trigonal polymorph_energy_ev_per_atom=0.000 spacegroup="R-3 (148)" final_energy_ev_per_atom=-6.495 pbc="T T T"
Mn 6.1296 4.1821 7.5185
Mn 1.1375 0.7761 4.2473
Ir 2.5773 1.7584 7.9135
Ir 4.6898 3.1998 3.8522
S 4.8741 2.2249 7.9534
S 1.8144 3.7269 6.8949
S 2.5188 0.3301 6.0558
S 2.3930 2.7333 3.8123
S 5.4527 1.2313 4.8709
S 4.7483 4.6281 5.7099

=====

Entry 6:
5
Lattice="-0.2877 -2.2826 4.2340 4.3055 1.7689 1.2462 -2.1446 3.8575 1.9339" Properties=species:S:1:pos:R:3 comment="PBE Mn3IrS, optimized geometry" raw_formation_energy_ev_per_fu=4.7 crystal_system=cubic polymorph_energy_ev_per_atom=0.407 spacegroup="Pm-3m (221)" final_energy_ev_per_atom=-7.165 pbc="T T T"
S 0.9366 1.6719 3.7070
Ir 0.0000 0.0000 0.0000
Mn 2.1528 0.8844 0.6231
Mn -1.0723 1.9288 0.9669
Mn -0.1439 -1.1413 2.1170

=====

Entry 7:
6
Lattice="-2.3873 -1.2182 -0.7781 1.4599 -1.9330 -1.4527 0.3712 -6.4341 8.9345" Properties=species:S:1:pos:R:3 comment="PBE MnIrS, optimized geometry" raw_formation_energy_ev_per_fu=0.1 crystal_system=orthorhombic polymorph_energy_ev_per_atom=0.320 spacegroup="Amm2 (38)" final_energy_ev_per_atom=-7.342 pbc="T T T"
S -0.9814 -4.2876 4.7189
S -0.4371 -2.0371 -0.4747
Ir -0.9048 -5.6166 6.5644
Ir -0.3604 -3.3661 1.3708
Mn 0.1574 -2.7285 3.7888
Mn 1.0730 -6.9121 7.5297

=====

Entry 8:
5
Lattice="-2.3878 0.6023 3.6040 -2.9182 -2.9053 -1.4479 2.1990 -3.2015 1.9920" Properties=species:S:1:pos:R:3 comment="PBE MnIr3S, optimized geometry" raw_formation_energy_ev_per_fu=6.0 crystal_system=cubic polymorph_energy_ev_per_atom=0.000 spacegroup="Pm-3m (221)" final_energy_ev_per_atom=-6.782 pbc="T T T"
S 0.0000 0.0000 0.0000
Ir -1.4591 -1.4527 -0.7239
Ir 1.0995 -1.6008 0.9960
Ir -1.1939 0.3012 1.8020
Mn -1.5535 -2.7523 2.0741

=====

Entry 9:
6
Lattice="-0.1402 -1.6012 3.2875 -0.9939 -2.5235 -1.2714 7.1588 -2.3875 -0.8576" Properties=species:S:1:pos:R:3 comment="PBE MnIrS, optimized geometry" raw_formation_energy_ev_per_fu=0.4 crystal_system=orthorhombic polymorph_energy_ev_per_atom=0.414 spacegroup="Amm2 (38)" final_energy_ev_per_atom=-7.248 pbc="T T T"
S 4.1332 -1.3784 -0.4951
S 0.0568 -1.4464 -0.7020
Ir 7.0326 -3.1694 0.7929
Ir 2.9563 -3.2374 0.5860
Mn 2.0838 -0.6950 -0.2496
Mn 5.1663 -3.1505 -1.3141

=====

Entry 10:
5
Lattice="-0.6371 2.7012 3.5100 -4.3797 0.1441 -0.9058 -0.6599 -3.5645 2.6234" Properties=species:S:1:pos:R:3 comment="PBE MnIr3S, optimized geometry" raw_formation_energy_ev_per_fu=8.4 crystal_system=cubic polymorph_energy_ev_per_atom=0.489 spacegroup="Pm-3m (221)" final_energy_ev_per_atom=-6.292 pbc="T T T"
S -2.8383 -0.3596 2.6138
Ir -2.1898 0.0721 -0.4529
Ir -0.3299 -1.7822 1.3117
Ir -0.3185 1.3506 1.7550
Mn 0.0000 0.0000 0.0000

=====

Entry 11:
6
Lattice="5.2092 0.0000 -0.9954 0.0000 2.9812 0.0000 -5.9003 0.0000 7.0928" Properties=species:S:1:pos:R:3 comment="PBE MnIrS, optimized geometry" raw_formation_energy_ev_per_fu=0.2 crystal_system=monoclinic polymorph_energy_ev_per_atom=0.326 spacegroup="Cm (8)" final_energy_ev_per_atom=-7.335 pbc="T T T"
S 4.0917 0.0000 0.1123
S 1.1416 1.4906 3.6587
Ir -2.2077 0.0000 4.8750
Ir 0.7424 1.4906 1.3286
Mn -4.8707 0.0000 6.2496
Mn -1.9205 1.4906 2.7032

=====

Entry 12:
12
Lattice="5.8308 0.0000 0.0000 -2.9154 5.0496 0.0000 0.0000 0.0000 8.4167" Properties=species:S:1:pos:R:3 comment="PBE SrMn2IrS8, optimized geometry" raw_formation_energy_ev_per_fu=-6.0 crystal_system=trigonal spacegroup="P-3 (147)" final_energy_ev_per_atom=-5.658 pbc="T T T"
Sr 0.0000 0.0000 0.0000
Mn 2.9154 1.6832 2.1260
Mn 0.0000 3.3664 6.2908
Ir 0.0000 0.0000 4.2084
S 0.0000 3.3664 8.3569
S 0.9135 1.6629 2.7969
S 1.0186 5.0092 2.7969
S 2.9154 1.6832 0.0598
S 1.8968 0.0403 5.6198
S 2.0019 3.3867 5.6198
S 4.8474 1.6225 5.6198
S -1.9320 3.4271 2.7969

=====

Entry 13:
11
Lattice="-3.2303 0.7399 -5.1172 -1.3791 -4.6084 3.7454 -2.3779 4.6595 3.3086" Properties=species:S:1:pos:R:3 comment="PBE Mn2V2IrS6, optimized geometry" raw_formation_energy_ev_per_fu=-5.8 crystal_system=monoclinic spacegroup="C2/m (12)" final_energy_ev_per_atom=-6.909 pbc="T T T"
Mn -2.9089 -0.1887 -3.5783
Mn -1.7005 -3.6798 2.2065
V -3.2176 -0.4020 2.2899
V -3.7697 1.1930 -0.3531
Ir -1.1889 2.3298 1.6543
S -5.2886 0.5205 1.4188
S -2.4251 1.5942 3.6124
S -1.6986 0.2705 0.5180
S -3.0612 3.4321 0.5669
S -4.5621 -0.8032 -1.6755
S -3.9260 -2.6411 1.3699

=====

Entry 14:
5
Lattice="-0.8822 -4.3271 -0.9096 4.3888 -1.2705 1.7874 -1.8120 -0.4923 4.0992" Properties=species:S:1:pos:R:3 comment="PBE MnIrWS2, optimized geometry" raw_formation_energy_ev_per_fu=9.1 crystal_system=tetragonal spacegroup="P4/mmm (123)" final_energy_ev_per_atom=-6.022 pbc="T T T"
Mn 0.8473 -3.0449 2.4885
S -0.9060 -0.2461 2.0496
S -0.4411 -2.1635 -0.4548
Ir 0.0000 0.0000 0.0000
W 2.1944 -0.6353 0.8937

=====

Entry 15:
5
Lattice="4.0615 0.0000 0.0000 0.0000 4.7608 0.0000 0.0000 0.0000 4.0615" Properties=species:S:1:pos:R:3 comment="PBE ZrMn2IrS, optimized geometry" raw_formation_energy_ev_per_fu=0.7 crystal_system=tetragonal spacegroup="P4/mmm (123)" final_energy_ev_per_atom=-7.836 pbc="T T T"
Mn 0.0000 0.0000 2.0308
Mn 2.0308 0.0000 0.0000
S 0.0000 0.0000 0.0000
Ir 2.0308 2.3804 2.0308
Zr 0.0000 2.3804 0.0000

=====

Entry 16:
5
Lattice="4.8998 0.0000 0.0000 0.0000 5.0191 0.0000 0.0000 0.0000 4.8998" Properties=species:S:1:pos:R:3 comment="PBE ZrMnIrS2, optimized geometry" raw_formation_energy_ev_per_fu=2.1 crystal_system=tetragonal spacegroup="P4/mmm (123)" final_energy_ev_per_atom=-6.548 pbc="T T T"
Mn 2.4499 2.5095 2.4499
S 0.0000 0.0000 2.4499
S 2.4499 0.0000 0.0000
Ir 0.0000 2.5095 0.0000
Zr 0.0000 0.0000 0.0000

=====

Entry 17:
4
Lattice="-5.9510 6.0678 0.2271 -7.4300 3.8917 -1.3908 -7.4224 3.7835 1.6961" Properties=species:S:1:pos:R:3 comment="PBE Mn2SbIr, optimized geometry" raw_formation_energy_ev_per_fu=1.3 crystal_system=trigonal spacegroup="R-3m (166)" final_energy_ev_per_atom=-7.516 pbc="T T T"
Ir -15.6025 10.3072 0.3993
Mn -0.1144 0.0755 0.0029
Mn -10.2873 6.7959 0.2633
Sb -5.2008 3.4357 0.1331

=====

Entry 18:
4
Lattice="-2.2611 -2.1484 -3.3749 4.0589 -2.1537 -0.0713 -1.0690 -2.0821 2.0416" Properties=species:S:1:pos:R:3 comment="PBE MnSbIr2, optimized geometry" raw_formation_energy_ev_per_fu=0.2 crystal_system=orthorhombic spacegroup="Cmmm (65)" final_energy_ev_per_atom=-7.699 pbc="T T T"
Ir 0.0000 0.0000 0.0000
Ir 0.8989 -2.1511 -1.7231
Mn -1.6650 -2.1153 -0.6666
Sb 1.4950 -2.1179 0.9852

=====

Entry 19:
4
Lattice="-1.6960 4.2301 -3.0820 -0.8561 1.2844 -5.2808 -3.7143 -1.2773 0.2923" Properties=species:S:1:pos:R:3 comment="PBE MnSb2Ir, optimized geometry" raw_formation_energy_ev_per_fu=0.0 crystal_system=orthorhombic polymorph_energy_ev_per_atom=0.000 spacegroup="Amm2 (38)" final_energy_ev_per_atom=-6.575 pbc="T T T"
Ir -2.7735 2.5049 -4.4153
Mn -5.0620 2.7969 -5.6809
Sb -5.7463 4.2779 -7.9263
Sb -2.0841 1.0134 -2.1539

=====

Entry 20:
4
Lattice="4.5586 0.0000 0.0000 0.0000 2.9307 0.0115 0.0000 0.0622 4.8565" Properties=species:S:1:pos:R:3 comment="PBE MnSbIr2, optimized geometry" raw_formation_energy_ev_per_fu=0.8 crystal_system=monoclinic spacegroup="P2/m (10)" final_energy_ev_per_atom=-7.556 pbc="T T T"
Ir 0.0000 0.0176 0.0578
Ir 0.0000 1.4789 2.3762
Mn 2.2793 0.7482 1.2170
Sb 2.2793 2.2447 3.6510

=====

Entry 21:
4
Lattice="4.8170 -0.0001 -0.0005 -2.4056 4.8436 0.0089 0.0058 0.8726 2.7820" Properties=species:S:1:pos:R:3 comment="PBE MnSbIr2, optimized geometry" raw_formation_energy_ev_per_fu=0.8 crystal_system=monoclinic spacegroup="C2/m (12)" final_energy_ev_per_atom=-7.543 pbc="T T T"
Ir 0.0000 0.0000 0.0000
Ir 2.4114 0.4362 1.3908
Mn -1.1999 2.8581 1.3955
Sb 1.2057 2.4217 0.0042

=====

Entry 22:
8
Lattice="5.6279 0.0000 0.0000 0.0000 5.6279 0.0000 2.8140 2.8140 5.5011" Properties=species:S:1:pos:R:3 comment="PBE MnSbIr2, optimized geometry" raw_formation_energy_ev_per_fu=2.4 crystal_system=tetragonal spacegroup="I-42d (122)" final_energy_ev_per_atom=-7.157 pbc="T T T"
Sb 0.0000 0.0000 0.0000
Sb 5.6279 2.8140 2.7505
Ir 3.9485 1.4070 1.3753
Ir 1.6795 4.2210 1.3753
Ir 4.2210 4.4935 4.1258
Ir 7.0349 6.7624 4.1258
Mn 2.8140 2.8140 0.0000
Mn 2.8140 5.6279 2.7505

=====

Entry 23:
4
Lattice="4.8183 -0.3353 0.1016 3.7069 3.0962 0.1016 1.1514 0.3729 4.0603" Properties=species:S:1:pos:R:3 comment="PBE MnSbIr2, optimized geometry" raw_formation_energy_ev_per_fu=0.3 crystal_system=monoclinic spacegroup="Cm (8)" final_energy_ev_per_atom=-7.691 pbc="T T T"
Ir 8.5529 2.7699 0.4030
Ir 7.2224 2.3390 2.9191
Mn 4.8338 1.5655 2.3619
Sb 2.4309 0.7873 0.9143

=====

Entry 24:
4
Lattice="6.6534 0.1468 0.2096 4.4793 4.9220 -0.2096 -5.3695 -2.9668 2.5885" Properties=species:S:1:pos:R:3 comment="PBE MnSb2Ir, optimized geometry" raw_formation_energy_ev_per_fu=0.5 crystal_system=orthorhombic polymorph_energy_ev_per_atom=0.137 spacegroup="Imm2 (44)" final_energy_ev_per_atom=-6.438 pbc="T T T"
Ir 5.7785 2.6310 0.0000
Mn 3.0339 2.5616 1.1895
Sb 10.7278 4.8844 0.0000
Sb 2.9220 -0.3719 1.3991

=====

Entry 25:
3
Lattice="4.2445 0.0000 0.0000 2.1223 3.6759 0.0000 2.1223 1.2253 3.4657" Properties=species:S:1:pos:R:3 comment="PBE MnSbIr, optimized geometry" raw_formation_energy_ev_per_fu=0.4 crystal_system=cubic spacegroup="F-43m (216)" final_energy_ev_per_atom=-7.242 pbc="T T T"
Ir 4.2445 2.4506 1.7328
Mn 6.3668 3.6759 2.5992
Sb 0.0000 0.0000 0.0000

=====

Entry 26:
4
Lattice="3.8986 0.0000 0.0000 0.0000 3.8968 0.0000 0.0000 0.0000 3.9715" Properties=species:S:1:pos:R:3 comment="PBE Mn2SbIr, optimized geometry" raw_formation_energy_ev_per_fu=0.0 crystal_system=tetragonal spacegroup="P4/mmm (123)" final_energy_ev_per_atom=-7.821 pbc="T T T"
Ir 0.0000 1.9484 1.9857
Mn 0.0000 0.0000 0.0000
Mn 1.9493 1.9484 0.0000
Sb 1.9493 0.0000 1.9857

=====

Entry 27:
4
Lattice="4.8733 -0.5228 0.2249 3.6431 3.2787 0.2249 1.5192 0.4916 3.6538" Properties=species:S:1:pos:R:3 comment="PBE Mn2SbIr, optimized geometry" raw_formation_energy_ev_per_fu=0.3 crystal_system=tetragonal spacegroup="I4/mmm (139)" final_energy_ev_per_atom=-7.764 pbc="T T T"
Ir 2.5089 0.8119 1.0259
Mn 1.5192 0.4916 3.6533
Mn 5.0178 1.6237 2.0523
Sb 7.5267 2.4356 3.0777

=====

Entry 28:
4
Lattice="4.6532 -0.0087 0.0000 -1.5081 4.4020 0.0000 0.0000 0.0000 3.0753" Properties=species:S:1:pos:R:3 comment="PBE Mn2SbIr, optimized geometry" raw_formation_energy_ev_per_fu=0.3 crystal_system=orthorhombic spacegroup="Cmmm (65)" final_energy_ev_per_atom=-7.744 pbc="T T T"
Ir -0.7541 2.2010 1.5376
Mn 0.0000 0.0000 0.0000
Mn 1.5725 2.1967 0.0000
Sb 2.3266 -0.0043 1.5376